[1]
BaBr2Cl: optimized geometry, PBE-GGA.

The structure belongs to space group R-3m (No. 166, hexagonal axes); the cell edges are 5.5544, 5.5544 and 14.1208 Å and the angles 90.00°, 90.00° and 120.00°. The inequivalent atoms are Ba at (0.0000, 0.0000, 0.0000), Br at (0.0000, 0.0000, 0.2419) and Cl at (0.0000, 0.0000, 0.5000).

The value obtained for the magnetization is 0.25 μB per atom. For the energy relative to the lowest polymorph listed for this composition, the calculation gives 195 meV per atom. The volume is 377 Å³ per cell. The energy relative to the elements, uncorrected comes out at -1.41 eV per atom.

---

[2]
Ag2BRh: optimized geometry, PBE-GGA.

The structure belongs to space group I-42d (No. 122); the cell edges are 3.563, 3.563 and 19.397 Å and the angles 90.00°, 90.00° and 90.00°. The inequivalent atoms are Ag at (0.246, 0.250, 0.125), B at (0.000, 0.000, 0.000) and Rh at (0.000, 0.000, 0.500).

The value obtained for the magnetization is 0.00 μB per atom. As for the formation energy: 0.8744 eV/atom. The volume is 246 Å³ per cell.

---

[3]
Pm4Ge5B2: optimized geometry, PBE-GGA.

The structure belongs to space group P2/m (No. 10); the cell edges are 6.650, 4.329 and 7.668 Å and the angles 90.00°, 90.84° and 90.00°. The inequivalent atoms are Pm at (0.227, 0.000, 0.133), Pm at (0.244, 0.000, 0.613), Ge at (0.104, 0.500, 0.857), Ge at (0.397, 0.500, 0.360), Ge at (0.500, 0.500, 0.000) and B at (0.069, 0.500, 0.404).

The value obtained for the magnetization is 0.00 μB per atom. As for the formation energy: -0.5910 eV/atom. The volume is 221 Å³ per cell.

---

[4]
K2MnIr: optimized geometry, PBE-GGA.

The structure belongs to space group Cm (No. 8); the cell edges are 7.361, 4.257 and 9.558 Å and the angles 90.00°, 104.80° and 90.00°. The inequivalent atoms are K at (0.000, 0.000, 0.000), K at (0.174, 0.000, 0.526), Mn at (0.420, 0.000, 0.263) and Ir at (0.254, 0.500, 0.263).

The value obtained for the magnetization is 1.08 μB per atom. As for the formation energy: 0.4472 eV/atom. For the energy relative to the lowest polymorph listed for this composition, the calculation gives 13 meV per atom. The volume is 290 Å³ per cell.

---

The highest volume belongs to which entry? BaBr2Cl